(1)
This record from the Alexandria database describes a relaxed NpGeF crystal. The functional is GGA-PBE.

Calculated values
M_tot = 0.00 μB/f.u.
Energy relative to the elements, uncorrected = -1350 meV per atom
DOS(E_F) = 14.48 states/eV/cell

Cell: 5.9349 3.2393 13.7319 Å, 90.00 90.00 90.00°
Closest atoms and distances in Å follow each position.
Space group Pnma (No. 62)
One atom of each set of equivalent atoms:
Np: 0.0633 0.2500 0.0594 x4  2 F 2.25, 2 Np 2.42
Ge: 0.0867 0.2500 0.4338 x4  2 Ge 2.64, 1 Np 2.83
F: 0.1261 0.7500 0.1703 x4  2 Np 2.25

***

(2)
This record from the Alexandria database describes a relaxed NpGe2F8 crystal. The functional is GGA-PBE.

Calculated values
M_tot = 3.00 μB/f.u.
Energy relative to the elements, uncorrected = -2633 meV per atom
DOS(E_F) = 15.66 states/eV/cell
Offset from the most stable computed form = 28 meV/atom

Cell: 10.0851 5.3673 7.1753 Å, 90.00 105.20 90.00°
Closest atoms and distances in Å follow each position.
Space group C2/m (No. 12)
One atom of each set of equivalent atoms:
Np: 0.0000 0.0000 0.0000 x2  2 F 2.07
Ge: 0.1711 0.5000 0.6746 x4  3 F 1.84-1.96
F: 0.0553 0.0000 0.7417 x4  1 Np 2.07
F: 0.0710 0.5000 0.8560 x4  1 Ge 1.84
F: 0.1880 0.2278 0.1778 x8  1 Ge 1.96

***

(3)
This record from the Alexandria database describes a relaxed NpGe2F8 crystal. The functional is GGA-PBE.

Calculated values
M_tot = 3.00 μB/f.u.
Energy relative to the elements, uncorrected = -2661 meV per atom
DOS(E_F) = 16.02 states/eV/cell
Offset from the most stable computed form = 0 meV/atom

Cell: 13.7253 5.6917 4.9356 Å, 90.00 102.34 90.00°
Closest atoms and distances in Å follow each position.
Space group C2/m (No. 12)
One atom of each set of equivalent atoms:
Np: 0.0000 0.0000 0.0000 x2  6 F 2.05-2.28
Ge: 0.1678 0.5000 0.5259 x4  3 F 1.81-1.98
F: 0.0763 0.2557 0.3327 x8  1 Ge 1.98
F: 0.1109 0.5000 0.8239 x4  1 Ge 1.81
F: 0.1330 0.0000 0.8726 x4  1 Np 2.05

***

(4)
This record from the Alexandria database describes a relaxed GeOF crystal. The functional is GGA-PBE.

Calculated values
M_tot = 0.00 μB/f.u.
Energy relative to the elements, uncorrected = -1387 meV per atom
DOS(E_F) = 2.71 states/eV/cell
Offset from the most stable computed form = 361 meV/atom

Cell: 2.9845 2.9845 10.0159 Å, 90.00 90.00 90.00°
Closest atoms and distances in Å follow each position.
Space group I4mm (No. 107)
One atom of each set of equivalent atoms:
Ge: 0.0000 0.0000 0.0000 x2  1 F 1.77
O: 0.0000 0.0000 0.5246 x2  4 Ge 2.12
F: 0.0000 0.0000 0.8235 x2  1 Ge 1.77